Below is a relaxed structure of BaTaAu2, with properties calculated at the PBE level.

Results
- E_form: 0.3355 eV/atom
- N(E_F): 0.9362 states/eV per atom
- Distance to the lowest polymorph of the same formula: 1.796 eV per formula unit
- Electronic total energy: -18.988 eV/f.u.
- M_tot: 0.0 μB per cell

Cell: 3.172 5.293 11.152 Å, 90.00 90.00 90.00°
Space group Imm2 (No. 44)
Symmetry-distinct sites (fractional):
Ba: 0.000 0.000 0.000 x2
Ta: 0.000 0.500 0.219 x2
Au: 0.000 0.000 0.507 x2
Au: 0.000 0.500 0.773 x2

---

Below is a relaxed structure of Dy2Ho2Te7, with properties calculated at the PBE level.

Results
- N(E_F): 0.4801 states/eV per atom
- Electronic total energy: -53.464 eV/f.u.
- M_tot: 0.0 μB per cell
- Uncorrected formation energy: -1.192 eV per atom

Cell: 4.216 15.854 9.830 Å, 90.00 90.00 90.00°
Space group Imm2 (No. 44)
Symmetry-distinct sites (fractional):
Dy: 0.000 0.243 0.000 x4
Ho: 0.000 0.000 0.774 x2
Ho: 0.000 0.500 0.828 x2
Te: 0.000 0.000 0.093 x2
Te: 0.000 0.109 0.499 x4
Te: 0.000 0.324 0.700 x4
Te: 0.000 0.357 0.315 x4

---

Below is a relaxed structure of Pm3Tm2In3, with properties calculated at the PBE level.

Results
- E_form: -0.3675 eV/atom
- N(E_F): 0.9586 states/eV per atom
- Electronic total energy: -34.350 eV/f.u.
- M_tot: 0.0 μB per cell

Cell: 3.797 5.434 22.573 Å, 90.00 90.00 90.00°
Space group Immm (No. 71)
Symmetry-distinct sites (fractional):
Pm: 0.000 0.000 0.000 x2
Pm: 0.000 0.500 0.125 x4
Tm: 0.000 0.000 0.236 x4
In: 0.000 0.000 0.500 x2
In: 0.000 0.500 0.377 x4

---

Below is a relaxed structure of LaTl2MoAs, with properties calculated at the PBE level.

Results
- E_form: 0.8337 eV/atom
- N(E_F): 0.6858 states/eV per atom
- Electronic total energy: -20.972 eV/f.u.
- M_tot: 4.2 μB per cell

Cell: 5.458 5.458 5.683 Å, 90.00 90.00 90.00°
Space group P4/mmm (No. 123)
Symmetry-distinct sites (fractional):
La: 0.000 0.000 0.000 x1
Tl: 0.000 0.500 0.500 x2
Mo: 0.500 0.500 0.000 x1
As: 0.000 0.000 0.500 x1

---

Below is a relaxed structure of Tb4PmHo8, with properties calculated at the PBE level.

Results
- E_form: 0.2009 eV/atom
- N(E_F): 1.1422 states/eV per atom
- Electronic total energy: -57.282 eV/f.u.
- M_tot: 0.0 μB per cell

Cell: 7.2905 7.2905 26.9657 Å, 90.00 90.00 120.00°
Space group R-3m (No. 166, hexagonal axes)
Symmetry-distinct sites (fractional):
Tb: 0.0000 0.0000 0.0000 x3
Tb: 0.0000 0.5000 0.0000 x9
Pm: 0.0000 0.0000 0.5000 x3
Ho: 0.0000 0.0000 0.2181 x6
Ho: 0.0381 0.5191 0.7689 x18

---

Below is a relaxed structure of La5Dy6Ho, with properties calculated at the PBE level.

Results
- E_form: 0.0271 eV/atom
- N(E_F): 1.5421 states/eV per atom
- Electronic total energy: -56.502 eV/f.u.
- M_tot: 0.0 μB per cell

Cell: 17.782 7.331 6.216 Å, 90.00 91.67 90.00°
Space group C2/m (No. 12)
Symmetry-distinct sites (fractional):
La: 0.000 0.000 0.000 x2
La: 0.164 0.500 0.670 x4
La: 0.167 0.000 0.666 x4
Dy: 0.000 0.252 0.500 x4
Dy: 0.166 0.251 0.168 x8
Ho: 0.000 0.500 0.000 x2

---

Below is a relaxed structure of HfVTe2I, with properties calculated at the PBE level.

Results
- N(E_F): 0.9942 states/eV per atom
- Distance to the lowest polymorph of the same formula: 0.000 eV per formula unit
- Electronic total energy: -24.370 eV/f.u.
- M_tot: 3.7 μB per cell
- Uncorrected formation energy: 0.507 eV per atom

Cell: 5.293 5.293 5.219 Å, 90.00 90.00 90.00°
Space group P4/mmm (No. 123)
Symmetry-distinct sites (fractional):
Hf: 0.000 0.000 0.000 x1
V: 0.500 0.500 0.500 x1
Te: 0.000 0.500 0.500 x2
I: 0.500 0.500 0.000 x1

---

Below is a relaxed structure of K2Tl5Cd12, with properties calculated at the PBE level.

Results
- E_form: -0.0031 eV/atom
- N(E_F): 0.3747 states/eV per atom
- Electronic total energy: -25.067 eV/f.u.
- M_tot: 0.0 μB per cell

Cell: 11.0621 11.0621 15.0067 Å, 90.00 90.00 120.00°
Space group R-3m (No. 166, hexagonal axes)
Symmetry-distinct sites (fractional):
K: 0.0000 0.0000 0.1580 x6
Tl: 0.0000 0.0000 0.3969 x6
Tl: 0.0000 0.5000 0.0000 x9
Cd: 0.0000 0.3315 0.5000 x18
Cd: 0.0189 0.5095 0.6652 x18